Record 1
DFT (PBE-GGA) results for crystalline KSc2Bi2 at its relaxed geometry.

a b c (Å): 4.900 4.900 14.714
angles (deg): 90.00 90.00 90.00
Space group I4/mmm (No. 139)
Asymmetric unit:
K (0.000, 0.000, 0.000) x2
Sc (0.000, 0.500, 0.250) x4
Bi (0.000, 0.000, 0.365) x4

Output
* DFT formation energy: -0.489 eV per atom
* E: -47.9 eV for the cell shown
* polymorph energy (0 for the lowest one): 0 meV per atom
* size of the total moment: 1.0 μB/f.u.

***

Record 2
DFT (PBE-GGA) results for crystalline ZnH6Os at its relaxed geometry.

a b c (Å): 3.024 4.992 5.401
angles (deg): 111.24 101.68 104.99
Space group P-1 (No. 2)
Asymmetric unit:
Zn (0.000, 0.000, 0.000) x1
H (0.051, 0.393, 0.270) x2
H (0.256, 0.867, 0.268) x2
H (0.382, 0.401, 0.791) x2
Os (0.000, 0.500, 0.000) x1

Output
* E: -32.0 eV for the cell shown
* size of the total moment: 0.0 μB/f.u.

***

Record 3
DFT (PBE-GGA) results for crystalline Tl2CuRuF6 at its relaxed geometry.

a b c (Å): 5.951 5.951 8.772
angles (deg): 90.00 90.00 90.00
Space group I4/mmm (No. 139)
Asymmetric unit:
Tl (0.000, 0.500, 0.250) x4
Cu (0.000, 0.000, 0.000) x2
Ru (0.000, 0.000, 0.500) x2
F (0.000, 0.000, 0.265) x4
F (0.247, 0.247, 0.500) x8

Output
* formation energy from raw total energies: -1.5495 eV/atom
* E: -89.7 eV for the cell shown
* size of the total moment: 1.0 μB/f.u.

***

Record 4
DFT (PBE-GGA) results for crystalline Rb2GeTeO6 at its relaxed geometry.

a b c (Å): 5.342 5.342 11.162
angles (deg): 90.00 90.00 90.00
Space group I4/m (No. 87)
Asymmetric unit:
Rb (0.000, 0.500, 0.250) x4
Ge (0.000, 0.000, 0.000) x2
Te (0.000, 0.000, 0.500) x2
O (0.000, 0.000, 0.332) x4
O (0.179, 0.292, 0.000) x8

Output
* formation energy from raw total energies: -1.2251 eV/atom
* E: -103.4 eV for the cell shown
* size of the total moment: 0.0 μB/f.u.

***

Record 5
DFT (PBE-GGA) results for crystalline YBr at its relaxed geometry.

a b c (Å): 9.320 9.320 9.320
angles (deg): 90.00 90.00 90.00
Space group I-43m (No. 217)
Asymmetric unit:
Y (0.127, 0.127, 0.873) x8
Br (0.190, 0.190, 0.190) x8

Output
* formation energy from raw total energies: -0.5147 eV/atom
* E: -73.3 eV for the cell shown
* size of the total moment: 1.4 μB/f.u.

***

Record 6
DFT (PBE-GGA) results for crystalline ReAg2Hg at its relaxed geometry.

a b c (Å): 2.8927 2.8927 29.2271
angles (deg): 90.00 90.00 120.00
Space group R3m (No. 160, hexagonal axes)
Asymmetric unit:
Re (0.0000, 0.0000, 0.0000) x3
Ag (0.0000, 0.0000, 0.4949) x3
Ag (0.0000, 0.0000, 0.7460) x3
Hg (0.0000, 0.0000, 0.2491) x3

Output
* DFT formation energy: 0.516 eV per atom
* E: -49.2 eV for the cell shown
* size of the total moment: 0.0 μB/f.u.

***

Record 7
DFT (PBE-GGA) results for crystalline Hg2GeTe4 at its relaxed geometry.

a b c (Å): 7.187 7.187 4.967
angles (deg): 90.00 90.00 90.00
Space group P-42m (No. 111)
Asymmetric unit:
Hg (0.000, 0.500, 0.000) x2
Ge (0.000, 0.000, 0.000) x1
Te (0.217, 0.217, 0.708) x4

Output
* formation energy from raw total energies: -0.0339 eV/atom
* E: -18.0 eV for the cell shown
* size of the total moment: 0.0 μB/f.u.

***

Record 8
DFT (PBE-GGA) results for crystalline Zr2PbBr at its relaxed geometry.

a b c (Å): 3.328 3.644 7.337
angles (deg): 90.00 90.00 90.00
Space group Pmmm (No. 47)
Asymmetric unit:
Zr (0.000, 0.000, 0.244) x2
Pb (0.500, 0.500, 0.500) x1
Br (0.500, 0.500, 0.000) x1

Output
* formation energy from raw total energies: -0.1587 eV/atom
* E: -23.1 eV for the cell shown
* size of the total moment: 0.0 μB/f.u.